A plane-wave DFT calculation with PBE-GGA was carried out for an optimized crystal structure of CeZrAs2.

The structure in POSCAR format:
```
CeZrAs2
1.0
3.967 0.000 0.000
1.984 3.436 0.000
1.984 1.145 6.906
Zr As Ce
1 2 1
Cartesian
3.967 2.290 3.535 Zr
1.984 1.145 5.068 As
1.984 1.145 1.852 As
5.951 3.436 6.810 Ce
```

* space-group type: R3m (160)
* total DFT energy (no corrections): -28.5 eV per cell
* mass density: 6.72 g cm⁻³
* total moment: 0.3 μB/f.u.
* density of states at the Fermi level: 3.941 states/eV/cell
* DFT formation energy: -1.18 eV/atom

***

A plane-wave DFT calculation with PBE-GGA was carried out for an optimized crystal structure of CsErCo2Br8.

The structure in POSCAR format:
```
CsErCo2Br8
1.0
6.836 -0.340 0.182
2.851 6.222 0.182
0.875 0.531 10.534
Cs Br Er Co
1 8 1 2
Cartesian
0.438 0.266 5.267 Cs
4.731 5.108 8.674 Br
7.316 4.442 0.356 Br
3.848 4.572 2.224 Br
6.998 4.249 4.448 Br
3.564 2.164 6.450 Br
3.247 1.971 10.541 Br
5.832 1.305 2.224 Br
6.715 1.841 8.674 Br
0.000 0.000 0.000 Er
6.142 3.729 2.342 Co
4.421 2.684 8.556 Co
```

* raw formation energy: -1042 meV per atom
* space-group type: C2/m (12)
* total DFT energy (no corrections): -45.5 eV per cell
* mass density: 3.84 g cm⁻³
* total moment: 6.0 μB/f.u.

***

A plane-wave DFT calculation with PBE-GGA was carried out for an optimized crystal structure of Sr2Nb5O9.

The structure in POSCAR format:
```
Sr2Nb5O9
1.0
-2.088 -3.497 -1.022
2.154 -0.235 -3.597
8.524 -6.710 5.545
Nb Sr O
5 2 9
Cartesian
3.218 -5.104 2.261 Nb
0.033 -1.866 -2.309 Nb
5.339 -3.473 0.974 Nb
2.892 -4.117 -0.450 Nb
5.699 -6.326 1.376 Nb
1.439 -1.133 0.936 Sr
7.085 -5.577 4.609 Sr
4.262 -3.355 2.772 O
6.849 -4.661 1.956 O
1.413 -2.952 -1.412 O
7.178 -7.490 2.338 O
-1.044 -1.748 -0.511 O
1.077 -0.118 -1.798 O
3.830 -2.284 -0.008 O
1.709 -3.915 1.279 O
4.728 -6.292 3.243 O
```

* raw formation energy: -2480 meV per atom
* space-group type: P4/mmm (123)
* total DFT energy (no corrections): -138.0 eV per cell
* mass density: 6.06 g cm⁻³
* total moment: 0.0 μB/f.u.
* density of states at the Fermi level: 3.219 states/eV/cell

***

A plane-wave DFT calculation with PBE-GGA was carried out for an optimized crystal structure of Be3MoH.

The structure in POSCAR format:
```
Be3MoH
1.0
4.497 0.000 0.000
0.000 4.497 0.000
0.000 0.000 4.497
Be H Mo
3 1 1
Cartesian
0.000 2.248 0.000 Be
0.000 0.000 2.248 Be
2.248 0.000 0.000 Be
2.248 2.248 2.248 H
0.000 0.000 0.000 Mo
```

* space-group type: Pm-3m (221)
* total DFT energy (no corrections): -14.9 eV per cell
* mass density: 2.26 g cm⁻³
* total moment: 2.6 μB/f.u.
* density of states at the Fermi level: 3.664 states/eV/cell

***

A plane-wave DFT calculation with PBE-GGA was carried out for an optimized crystal structure of Pm3Ho2Tm8.

The structure in POSCAR format:
```
Pm3Ho2Tm8
1.0
5.513 0.000 0.782
0.000 7.652 0.000
-1.402 -3.826 9.860
Tm Pm Ho
8 3 2
Cartesian
-0.477 3.826 3.371 Tm
1.662 -1.599 8.085 Tm
5.134 0.000 3.438 Tm
-1.023 3.826 7.204 Tm
2.449 2.227 2.557 Tm
4.587 0.000 7.271 Tm
2.449 5.425 2.557 Tm
1.662 1.599 8.085 Tm
0.000 2.234 0.000 Pm
0.000 5.418 0.000 Pm
2.757 0.000 0.391 Pm
2.033 3.826 5.504 Ho
2.078 0.000 5.138 Ho
```

* space-group type: C2/m (12)
* total DFT energy (no corrections): -55.8 eV per cell
* mass density: 8.28 g cm⁻³
* total moment: 0.0 μB/f.u.
* density of states at the Fermi level: 22.316 states/eV/cell
* DFT formation energy: 0.26 eV/atom

***

A plane-wave DFT calculation with PBE-GGA was carried out for an optimized crystal structure of TaZnOsPd2.

The structure in POSCAR format:
```
TaZnOsPd2
1.0
-4.490 -0.784 -1.658
-1.460 -0.945 4.402
-1.060 4.687 0.654
Os Pd Ta Zn
1 2 1 1
Cartesian
-0.730 -0.472 2.201 Os
-0.530 2.344 0.327 Pd
-2.245 -0.392 -0.829 Pd
0.000 0.000 0.000 Ta
-3.505 1.479 1.699 Zn
```

* space-group type: P4/mmm (123)
* total DFT energy (no corrections): -28.4 eV per cell
* mass density: 9.69 g cm⁻³
* total moment: 0.0 μB/f.u.
* density of states at the Fermi level: 2.981 states/eV/cell
* DFT formation energy: 1.27 eV/atom

***

A plane-wave DFT calculation with PBE-GGA was carried out for an optimized crystal structure of ScAg2.

The structure in POSCAR format:
```
ScAg2
1.0
0.994 7.580 -0.617
-1.839 -6.572 3.502
4.723 -0.493 1.555
Sc Ag
2 4
Cartesian
2.315 -3.890 3.780 Sc
1.564 4.406 0.660 Sc
-0.333 -5.075 3.419 Ag
0.615 -0.339 2.041 Ag
4.212 5.590 1.021 Ag
3.265 0.855 2.399 Ag
```

* space-group type: Cmcm (63)
* total DFT energy (no corrections): -24.2 eV per cell
* mass density: 7.28 g cm⁻³
* total moment: 0.0 μB/f.u.
* density of states at the Fermi level: 4.018 states/eV/cell
* DFT formation energy: -0.03 eV/atom